Computed, not measured: Dy5Mg24 at its PBEsol-relaxed geometry at the SCAN level of DFT.

a = 9.6657 Å, b = 9.6657 Å, c = 9.6657 Å
α = 109.47°, β = 109.47°, γ = 109.47°
Each line ends with the local moment (μB).
Fractional positions:
Mg1 0.7132 0.3896 0.3896  0.00
Mg2 0.6290 0.0000 0.8090  0.01
Mg3 0.8090 0.6290 0.0000  0.01
Mg4 0.6104 0.3236 0.0000  0.00
Mg5 0.3710 0.3710 0.1800  0.01
Mg6 0.3236 0.6104 0.0000  0.00
Mg7 0.1800 0.3710 0.3710  0.01
Mg8 0.8090 0.0000 0.6290  0.01
Mg9 0.6764 0.6764 0.2868  0.00
Mg10 0.1910 0.1910 0.8200  0.01
Mg11 0.2868 0.6764 0.6764  0.00
Mg12 0.0000 0.3236 0.6104  0.00
Mg13 0.1910 0.8200 0.1910  0.01
Mg14 0.3896 0.7132 0.3896  0.00
Mg15 0.0000 0.8090 0.6290  0.01
Mg16 0.3710 0.1800 0.3710  0.01
Mg17 0.6764 0.2868 0.6764  0.00
Mg18 0.6104 0.0000 0.3236  0.00
Mg19 0.3236 0.0000 0.6104  0.00
Mg20 0.6290 0.8090 0.0000  0.01
Mg21 0.0000 0.6290 0.8090  0.01
Mg22 0.8200 0.1910 0.1910  0.01
Mg23 0.0000 0.6104 0.3236  0.00
Mg24 0.3896 0.3896 0.7132  0.00
Dy1 0.6268 0.6268 0.6268  0.07
Dy2 0.0000 0.0000 0.3732  0.07
Dy3 0.3732 0.0000 0.0000  0.07
Dy4 0.0000 0.3732 0.0000  0.07
Dy5 0.0000 0.0000 0.0000  -0.02

calculated density = 3.33 g/cm³
calculated formation energy = -51 meV/atom
SG = I-43m (217)
spin magnetization = 1.2 μB per formula unit